Crystalline NpTi2Si at its relaxed geometry. Source: the Alexandria database, functional PBE.

## Properties
calculated volume = 17.058 A^3/atom
N(E_F) = 16.9 states/eV/cell
raw formation energy = 38 meV/atom

a b c (Å): 2.8651 2.8651 28.7933
angles (deg): 90.00 90.00 120.00
Space group R-3m (No. 166, hexagonal axes)
Unique sites:
Np: 0.0000 0.0000 0.0000
Ti: 0.0000 0.0000 0.2413
Si: 0.0000 0.0000 0.5000

Crystalline TmNpSi4 at its relaxed geometry. Source: the Alexandria database, functional PBE.

## Properties
calculated volume = 18.064 A^3/atom
N(E_F) = 15.6 states/eV/cell
raw formation energy = -398 meV/atom

a b c (Å): 6.997 3.811 8.130
angles (deg): 90.00 90.00 90.00
Space group Pmma (No. 51)
Unique sites:
Tm: 0.250 0.000 0.124
Np: 0.250 0.000 0.630
Si: 0.082 0.500 0.874
Si: 0.084 0.500 0.376

Crystalline TmNpSi3 at its relaxed geometry. Source: the Alexandria database, functional PBE.

## Properties
calculated volume = 19.317 A^3/atom
N(E_F) = 29.8 states/eV/cell
raw formation energy = -470 meV/atom

a b c (Å): 4.061 24.377 3.903
angles (deg): 90.00 90.00 90.00
Space group Cmcm (No. 63)
Unique sites:
Tm: 0.000 0.203 0.250
Np: 0.000 0.070 0.750
Si: 0.000 0.323 0.250
Si: 0.000 0.381 0.750
Si: 0.000 0.475 0.750

Crystalline NpU3Si2 at its relaxed geometry. Source: the Alexandria database, functional PBE.

## Properties
calculated volume = 18.538 A^3/atom
N(E_F) = 22.2 states/eV/cell
raw formation energy = -203 meV/atom

a b c (Å): 9.376 4.580 6.580
angles (deg): 90.00 128.07 90.00
Space group Cm (No. 8)
Unique sites:
Np: 0.000 0.000 0.000
U: 0.089 0.000 0.479
U: 0.130 0.500 0.989
U: 0.251 0.500 0.533
Si: 0.348 0.000 0.051
Si: 0.381 0.000 0.440

Crystalline NpU2Si6 at its relaxed geometry. Source: the Alexandria database, functional PBE.

## Properties
calculated volume = 16.671 A^3/atom
N(E_F) = 14.2 states/eV/cell
raw formation energy = -163 meV/atom

a b c (Å): 7.5950 7.5950 3.0034
angles (deg): 90.00 90.00 120.00
Space group P6/mmm (No. 191)
Unique sites:
Np: 0.0000 0.0000 0.0000
U: 0.3333 0.6667 0.0000
Si: 0.0000 0.3329 0.5000

Crystalline Np2USi at its relaxed geometry. Source: the Alexandria database, functional PBE.

## Properties
calculated volume = 18.673 A^3/atom
N(E_F) = 10.5 states/eV/cell
raw formation energy = -54 meV/atom

a b c (Å): 4.218 4.218 4.199
angles (deg): 90.00 90.00 90.00
Space group P4/mmm (No. 123)
Unique sites:
Np: 0.000 0.500 0.000
U: 0.000 0.000 0.500
Si: 0.500 0.500 0.500

Crystalline NpUSi4 at its relaxed geometry. Source: the Alexandria database, functional PBE.

## Properties
calculated volume = 16.430 A^3/atom
N(E_F) = 34.2 states/eV/cell
raw formation energy = -220 meV/atom

a b c (Å): 7.333 7.333 7.333
angles (deg): 90.00 90.00 90.00
Space group F-43m (No. 216)
Unique sites:
Np: 0.000 0.000 0.000
U: 0.250 0.250 0.750
Si: 0.125 0.125 0.375

Crystalline NpU2Si2 at its relaxed geometry. Source: the Alexandria database, functional PBE.

## Properties
calculated volume = 19.011 A^3/atom
N(E_F) = 21.0 states/eV/cell
raw formation energy = -189 meV/atom

a b c (Å): 3.659 6.775 7.668
angles (deg): 90.00 90.00 90.00
Space group Immm (No. 71)
Unique sites:
Np: 0.000 0.000 0.000
U: 0.000 0.500 0.260
Si: 0.000 0.174 0.500

Crystalline NpUSi4 at its relaxed geometry. Source: the Alexandria database, functional PBE.

## Properties
calculated volume = 18.163 A^3/atom
N(E_F) = 27.2 states/eV/cell
raw formation energy = -284 meV/atom

a b c (Å): 3.917 3.917 14.205
angles (deg): 90.00 90.00 90.00
Space group I-4m2 (No. 119)
Unique sites:
Np: 0.000 0.000 0.000
U: 0.000 0.500 0.750
Si: 0.000 0.000 0.418
Si: 0.000 0.500 0.168

Crystalline Np2USi6 at its relaxed geometry. Source: the Alexandria database, functional PBE.

## Properties
calculated volume = 17.911 A^3/atom
N(E_F) = 16.7 states/eV/cell
raw formation energy = -286 meV/atom

a b c (Å): 7.0074 7.0074 3.7906
angles (deg): 90.00 90.00 120.00
Space group P6/mmm (No. 191)
Unique sites:
Np: 0.3333 0.6667 0.0000
U: 0.0000 0.0000 0.0000
Si: 0.0000 0.3328 0.5000

Crystalline NpVSi2 at its relaxed geometry. Source: the Alexandria database, functional PBE.

## Properties
calculated volume = 18.157 A^3/atom
N(E_F) = 14.0 states/eV/cell
raw formation energy = -11 meV/atom

a b c (Å): 3.5769 3.5769 19.6640
angles (deg): 90.00 90.00 120.00
Space group R-3m (No. 166, hexagonal axes)
Unique sites:
Np: 0.0000 0.0000 0.0000
V: 0.0000 0.0000 0.5000
Si: 0.0000 0.0000 0.2352

Crystalline NpVSi at its relaxed geometry. Source: the Alexandria database, functional PBE.

## Properties
calculated volume = 16.444 A^3/atom
N(E_F) = 5.0 states/eV/cell
raw formation energy = 54 meV/atom

a b c (Å): 4.5039 4.5039 2.8082
angles (deg): 90.00 90.00 120.00
Space group P-6m2 (No. 187)
Unique sites:
Np: 0.0000 0.0000 0.0000
V: 0.3333 0.6667 0.5000
Si: 0.6667 0.3333 0.5000

Crystalline NpVSi2 at its relaxed geometry. Source: the Alexandria database, functional PBE.

## Properties
calculated volume = 16.298 A^3/atom
N(E_F) = 6.3 states/eV/cell
raw formation energy = -179 meV/atom

a b c (Å): 3.207 3.207 6.340
angles (deg): 90.00 90.00 90.00
Space group P4/mmm (No. 123)
Unique sites:
Np: 0.000 0.000 0.000
V: 0.000 0.000 0.500
Si: 0.500 0.500 0.308

Crystalline NpSi2W at its relaxed geometry. Source: the Alexandria database, functional PBE.

## Properties
calculated volume = 16.019 A^3/atom
N(E_F) = 13.0 states/eV/cell
raw formation energy = 124 meV/atom

a b c (Å): 2.8153 2.8153 28.0043
angles (deg): 90.00 90.00 120.00
Space group R-3m (No. 166, hexagonal axes)
Unique sites:
Np: 0.0000 0.0000 0.0000
Si: 0.0000 0.0000 0.2433
W: 0.0000 0.0000 0.5000

Crystalline Np2Si4W3 at its relaxed geometry. Source: the Alexandria database, functional PBE.

## Properties
calculated volume = 16.698 A^3/atom
N(E_F) = 22.7 states/eV/cell
raw formation energy = -280 meV/atom

a b c (Å): 6.850 6.876 6.779
angles (deg): 90.00 109.73 90.00
Space group P2_1/c (No. 14)
Unique sites:
Np: 0.183 0.161 0.056
Si: 0.089 0.543 0.870
Si: 0.498 0.133 0.868
W: 0.250 0.664 0.252
W: 0.500 0.000 0.500

Crystalline YNpSi4 at its relaxed geometry. Source: the Alexandria database, functional PBE.

## Properties
calculated volume = 19.292 A^3/atom
N(E_F) = 23.7 states/eV/cell
raw formation energy = -273 meV/atom

a b c (Å): 8.236 14.570 3.858
angles (deg): 90.00 90.00 90.00
Space group Pbam (No. 55)
Unique sites:
Y: 0.078 0.139 0.000
Np: 0.097 0.433 0.000
Si: 0.002 0.290 0.500
Si: 0.132 0.967 0.500
Si: 0.165 0.579 0.500
Si: 0.217 0.813 0.500

Crystalline YNpSi at its relaxed geometry. Source: the Alexandria database, functional PBE.

## Properties
calculated volume = 22.803 A^3/atom
N(E_F) = 18.6 states/eV/cell
raw formation energy = -321 meV/atom

a b c (Å): 10.592 3.752 7.994
angles (deg): 90.00 120.53 90.00
Space group C2/m (No. 12)
Unique sites:
Y: 0.084 0.000 0.334
Np: 0.193 0.500 0.037
Si: 0.124 0.500 0.646

Crystalline YNpSi3 at its relaxed geometry. Source: the Alexandria database, functional PBE.

## Properties
calculated volume = 19.740 A^3/atom
N(E_F) = 29.8 states/eV/cell
raw formation energy = -479 meV/atom

a b c (Å): 4.108 24.504 3.922
angles (deg): 90.00 90.00 90.00
Space group Cmcm (No. 63)
Unique sites:
Y: 0.000 0.202 0.250
Np: 0.000 0.069 0.750
Si: 0.000 0.325 0.250
Si: 0.000 0.382 0.750
Si: 0.000 0.476 0.750

Crystalline YNpSi2 at its relaxed geometry. Source: the Alexandria database, functional PBE.

## Properties
calculated volume = 21.472 A^3/atom
N(E_F) = 21.5 states/eV/cell
raw formation energy = -198 meV/atom

a b c (Å): 4.7187 4.7187 13.3622
angles (deg): 90.00 90.00 120.00
Space group R-3m (No. 166, hexagonal axes)
Unique sites:
Y: 0.0000 0.0000 0.0000
Np: 0.0000 0.0000 0.5000
Si: 0.0000 0.0000 0.2456

Crystalline NpZnSi2 at its relaxed geometry. Source: the Alexandria database, functional PBE.

## Properties
calculated volume = 17.829 A^3/atom
N(E_F) = 28.2 states/eV/cell
raw formation energy = -106 meV/atom

a b c (Å): 3.903 3.903 18.726
angles (deg): 90.00 90.00 90.00
Space group I4/mmm (No. 139)
Unique sites:
Np: 0.000 0.000 0.112
Zn: 0.000 0.500 0.250
Si: 0.000 0.000 0.342
Si: 0.000 0.500 0.000

Crystalline NpZn11Si at its relaxed geometry. Source: the Alexandria database, functional PBE.

## Properties
calculated volume = 15.882 A^3/atom
N(E_F) = 21.9 states/eV/cell
raw formation energy = 0 meV/atom

a b c (Å): 5.232 12.698 6.709
angles (deg): 90.00 112.11 90.00
Space group C2/m (No. 12)
Unique sites:
Np: 0.000 0.000 0.000
Zn: 0.000 0.500 0.500
Zn: 0.103 0.392 0.214
Zn: 0.178 0.177 0.354
Zn: 0.250 0.250 0.000
Si: 0.000 0.000 0.500

Crystalline NpZnSi4 at its relaxed geometry. Source: the Alexandria database, functional PBE.

## Properties
calculated volume = 16.187 A^3/atom
N(E_F) = 38.1 states/eV/cell
raw formation energy = 9 meV/atom

a b c (Å): 7.297 7.297 7.297
angles (deg): 90.00 90.00 90.00
Space group F-43m (No. 216)
Unique sites:
Np: 0.000 0.000 0.000
Zn: 0.250 0.250 0.750
Si: 0.124 0.124 0.376

Crystalline NpZnSi2 at its relaxed geometry. Source: the Alexandria database, functional PBE.

## Properties
calculated volume = 18.045 A^3/atom
N(E_F) = 27.7 states/eV/cell
raw formation energy = 24 meV/atom

a b c (Å): 4.1987 4.1987 14.1827
angles (deg): 90.00 90.00 120.00
Space group R-3m (No. 166, hexagonal axes)
Unique sites:
Np: 0.0000 0.0000 0.0000
Zn: 0.0000 0.0000 0.5000
Si: 0.0000 0.0000 0.2137

Crystalline NpZnSi2 at its relaxed geometry. Source: the Alexandria database, functional PBE.

## Properties
calculated volume = 17.309 A^3/atom
N(E_F) = 6.7 states/eV/cell
raw formation energy = -126 meV/atom

a b c (Å): 4.207 4.207 3.911
angles (deg): 90.00 90.00 90.00
Space group P4/mmm (No. 123)
Unique sites:
Np: 0.000 0.000 0.000
Zn: 0.500 0.500 0.000
Si: 0.000 0.500 0.500

Crystalline Zr2NpSi at its relaxed geometry. Source: the Alexandria database, functional PBE.

## Properties
calculated volume = 21.386 A^3/atom
N(E_F) = 19.3 states/eV/cell
raw formation energy = 78 meV/atom

a b c (Å): 3.3085 3.3085 27.0717
angles (deg): 90.00 90.00 120.00
Space group R-3m (No. 166, hexagonal axes)
Unique sites:
Zr: 0.0000 0.0000 0.2397
Np: 0.0000 0.0000 0.0000
Si: 0.0000 0.0000 0.5000